1.
# W2C (PBE-GGA, relaxed)
# * electronic total energy: -68.99 eV/cell
# * density of states at the Fermi level: 1.99 states/eV per cell
# * crystal system: orthorhombic
# * total moment: 0.000 μB per atom
data_W2C
_chemical_formula_sum 'W4 C2'
_cell_length_a 5.229
_cell_length_b 5.229
_cell_length_c 5.227
_cell_angle_alpha 90.00
_cell_angle_beta 90.00
_cell_angle_gamma 148.85
_symmetry_space_group_name_H-M 'P 1'
_symmetry_Int_Tables_number 1
loop_
_symmetry_equiv_pos_as_xyz
'x,y,z'
loop_
_atom_site_label
_atom_site_type_symbol
_atom_site_fract_x
_atom_site_fract_y
_atom_site_fract_z
_atom_site_occupancy
W1 W 0.527 0.473 0.292 1
W2 W 0.473 0.527 0.792 1
W3 W 0.781 0.219 0.462 1
W4 W 0.219 0.781 0.962 1
C1 C 0.883 0.117 0.080 1
C2 C 0.117 0.883 0.580 1


2.
# Mg2AsRu (PBE-GGA, relaxed)
# * electronic total energy: -17.58 eV/cell
# * density of states at the Fermi level: 1.37 states/eV per cell
# * crystal system: trigonal
# * total moment: 0.000 μB per atom
data_Mg2AsRu
_chemical_formula_sum 'Mg2 As1 Ru1'
_cell_length_a 9.029
_cell_length_b 9.029
_cell_length_c 9.029
_cell_angle_alpha 20.02
_cell_angle_beta 20.02
_cell_angle_gamma 20.02
_symmetry_space_group_name_H-M 'P 1'
_symmetry_Int_Tables_number 1
loop_
_symmetry_equiv_pos_as_xyz
'x,y,z'
loop_
_atom_site_label
_atom_site_type_symbol
_atom_site_fract_x
_atom_site_fract_y
_atom_site_fract_z
_atom_site_occupancy
As1 As 0.764 0.764 0.764 1
Mg1 Mg 0.007 0.007 0.007 1
Mg2 Mg 0.238 0.238 0.238 1
Ru1 Ru 0.492 0.492 0.492 1


3.
# MnV2AsH (PBE-GGA, relaxed)
# * electronic total energy: -36.42 eV/cell
# * density of states at the Fermi level: 3.09 states/eV per cell
# * crystal system: tetragonal
# * total moment: 0.406 μB per atom
data_MnV2AsH
_chemical_formula_sum 'Mn1 V2 As1 H1'
_cell_length_a 3.784
_cell_length_b 3.784
_cell_length_c 3.834
_cell_angle_alpha 90.00
_cell_angle_beta 90.00
_cell_angle_gamma 90.00
_symmetry_space_group_name_H-M 'P 1'
_symmetry_Int_Tables_number 1
loop_
_symmetry_equiv_pos_as_xyz
'x,y,z'
loop_
_atom_site_label
_atom_site_type_symbol
_atom_site_fract_x
_atom_site_fract_y
_atom_site_fract_z
_atom_site_occupancy
H1 H 0.000 0.000 0.000 1
As1 As 0.500 0.500 0.500 1
Mn1 Mn 0.000 0.000 0.500 1
V1 V 0.000 0.500 0.000 1
V2 V 0.500 0.000 0.000 1


4.
# HoPa3Ir4 (PBE-GGA, relaxed)
# * electronic total energy: -75.98 eV/cell
# * density of states at the Fermi level: 7.48 states/eV per cell
# * crystal system: monoclinic
# * total moment: 0.000 μB per atom
data_HoPa3Ir4
_chemical_formula_sum 'Ho1 Pa3 Ir4'
_cell_length_a 3.768
_cell_length_b 7.173
_cell_length_c 8.895
_cell_angle_alpha 92.26
_cell_angle_beta 129.07
_cell_angle_gamma 105.67
_symmetry_space_group_name_H-M 'P 1'
_symmetry_Int_Tables_number 1
loop_
_symmetry_equiv_pos_as_xyz
'x,y,z'
loop_
_atom_site_label
_atom_site_type_symbol
_atom_site_fract_x
_atom_site_fract_y
_atom_site_fract_z
_atom_site_occupancy
Pa1 Pa 0.359 0.014 0.487 1
Pa2 Pa 0.135 0.986 0.010 1
Pa3 Pa 0.142 0.490 0.514 1
Ho1 Ho 0.361 0.513 0.987 1
Ir1 Ir 0.104 0.775 0.725 1
Ir2 Ir 0.426 0.738 0.290 1
Ir3 Ir 0.102 0.275 0.225 1
Ir4 Ir 0.370 0.210 0.762 1


5.
# TaP2Br (PBE-GGA, relaxed)
# * energy relative to the elements, uncorrected: -35 kJ/mol of atoms
# * energy above the most stable polymorph in this dataset: 0.000 eV per formula unit
# * crystal system: monoclinic
# * total moment: 0.000 μB per atom
data_TaP2Br
_chemical_formula_sum 'Ta1 P2 Br1'
_cell_length_a 4.559
_cell_length_b 4.559
_cell_length_c 7.490
_cell_angle_alpha 75.99
_cell_angle_beta 75.99
_cell_angle_gamma 45.00
_symmetry_space_group_name_H-M 'P 1'
_symmetry_Int_Tables_number 1
loop_
_symmetry_equiv_pos_as_xyz
'x,y,z'
loop_
_atom_site_label
_atom_site_type_symbol
_atom_site_fract_x
_atom_site_fract_y
_atom_site_fract_z
_atom_site_occupancy
Br1 Br 0.181 0.181 0.342 1
P1 P 0.979 0.979 0.864 1
P2 P 0.812 0.812 0.681 1
Ta1 Ta 0.528 0.528 0.613 1


6.
# Cs2CdAsCl6 (PBE-GGA, relaxed)
# * energy relative to the elements, uncorrected: -119 kJ/mol of atoms
# * density of states at the Fermi level: 2.51 states/eV per cell
# * crystal system: tetragonal
# * total moment: 0.000 μB per atom
data_Cs2CdAsCl6
_chemical_formula_sum 'Cs2 Cd1 As1 Cl6'
_cell_length_a 7.580
_cell_length_b 7.580
_cell_length_c 7.557
_cell_angle_alpha 59.90
_cell_angle_beta 59.90
_cell_angle_gamma 90.00
_symmetry_space_group_name_H-M 'P 1'
_symmetry_Int_Tables_number 1
loop_
_symmetry_equiv_pos_as_xyz
'x,y,z'
loop_
_atom_site_label
_atom_site_type_symbol
_atom_site_fract_x
_atom_site_fract_y
_atom_site_fract_z
_atom_site_occupancy
Cs1 Cs 0.750 0.250 0.500 1
Cs2 Cs 0.250 0.750 0.500 1
As1 As 0.500 0.500 0.000 1
Cl1 Cl 0.255 0.255 0.489 1
Cl2 Cl 0.745 0.745 0.511 1
Cl3 Cl 0.260 0.260 0.000 1
Cl4 Cl 0.740 0.740 0.000 1
Cl5 Cl 0.740 0.260 0.000 1
Cl6 Cl 0.260 0.740 0.000 1
Cd1 Cd 0.000 0.000 0.000 1